1.
A relaxed AcPt crystal. Source: OQMD via LeMat-Bulk, functional GGA-PBE.

density = 11.798 g/cm³
E_form = -1169 meV/atom
DFT total energy = -6.250 eV/atom

```
data_AcPt
_chemical_formula_sum 'Ac4 Pt4'
_cell_length_a 6.1939
_cell_length_b 6.1939
_cell_length_c 6.1939
_cell_angle_alpha 90.00
_cell_angle_beta 90.00
_cell_angle_gamma 90.00
_space_group_name_H-M_alt 'F m -3 m'
_space_group_IT_number 225
_space_group_name_Hall '-F 4 2 3'
loop_
_atom_site_label
_atom_site_type_symbol
_atom_site_fract_x
_atom_site_fract_y
_atom_site_fract_z
Ac1 Ac 0.0000 0.0000 0.0000
Pt1 Pt 0.0000 0.0000 0.5000
```

---

2.
A relaxed Er2AlZn3Ni2 crystal. Source: OQMD via LeMat-Bulk, functional GGA-PBE.

density = 8.324 g/cm³
DFT total energy = -3.957 eV/atom

```
data_Er2AlZn3Ni2
_chemical_formula_sum 'Er4 Al2 Zn6 Ni4'
_cell_length_a 9.3797
_cell_length_b 4.0308
_cell_length_c 7.1242
_cell_angle_alpha 90.00
_cell_angle_beta 90.03
_cell_angle_gamma 90.00
_space_group_name_H-M_alt 'C 1 m 1'
_space_group_IT_number 8
loop_
_space_group_symop_operation_xyz
'x,y,z'
'x,-y,z'
'x+1/2,y+1/2,z'
'x+1/2,-y+1/2,z'
loop_
_atom_site_label
_atom_site_type_symbol
_atom_site_fract_x
_atom_site_fract_y
_atom_site_fract_z
Er1 Er 0.0000 0.0000 0.0000
Er2 Er 0.1302 0.0000 0.4908
Al1 Al 0.2164 0.5000 0.7998
Zn1 Zn 0.2112 0.5000 0.1885
Zn2 Zn 0.4170 0.0000 0.2985
Zn3 Zn 0.4220 0.0000 0.6872
Ni1 Ni 0.2820 0.0000 0.9869
Ni2 Ni 0.3418 0.5000 0.4958
```

---

3.
A relaxed SrYAgSe2S crystal. Source: OQMD via LeMat-Bulk, functional GGA-PBE.

density = 5.269 g/cm³
DFT total energy = -5.228 eV/atom

```
data_SrYAgSe2S
_chemical_formula_sum 'Sr4 Y4 Ag4 Se8 S4'
_cell_length_a 4.1665
_cell_length_b 13.7364
_cell_length_c 10.4488
_cell_angle_alpha 90.00
_cell_angle_beta 90.00
_cell_angle_gamma 90.00
_space_group_name_H-M_alt 'C m c m'
_space_group_IT_number 63
_space_group_name_Hall '-C 2c 2'
loop_
_atom_site_label
_atom_site_type_symbol
_atom_site_fract_x
_atom_site_fract_y
_atom_site_fract_z
Sr1 Sr 0.0000 0.2416 0.2500
Y1 Y 0.0000 0.5000 0.0000
Ag1 Ag 0.0000 0.0256 0.7500
Se1 Se 0.0000 0.1438 0.5532
S1 S 0.0000 0.4173 0.7500
```

---

4.
A relaxed NaTmMg crystal. Source: OQMD via LeMat-Bulk, functional GGA-PBE.

density = 3.432 g/cm³
DFT total energy = -1.679 eV/atom
polymorph energy (0 for the lowest one) = 186 meV per atom

```
data_NaTmMg
_chemical_formula_sum 'Na4 Tm4 Mg4'
_cell_length_a 7.4800
_cell_length_b 7.4800
_cell_length_c 7.4800
_cell_angle_alpha 90.00
_cell_angle_beta 90.00
_cell_angle_gamma 90.00
_space_group_name_H-M_alt 'F -4 3 m'
_space_group_IT_number 216
_space_group_name_Hall 'F -4 2 3'
loop_
_atom_site_label
_atom_site_type_symbol
_atom_site_fract_x
_atom_site_fract_y
_atom_site_fract_z
Na1 Na 0.0000 0.0000 0.0000
Tm1 Tm 0.2500 0.2500 0.7500
Mg1 Mg 0.0000 0.0000 0.5000
```

---

5.
A relaxed ErGaB4 crystal. Source: OQMD via LeMat-Bulk, functional GGA-PBE.

density = 7.435 g/cm³
DFT total energy = -5.777 eV/atom
polymorph energy (0 for the lowest one) = 149 meV per atom

```
data_ErGaB4
_chemical_formula_sum 'Er1 Ga1 B4'
_cell_length_a 3.1558
_cell_length_b 3.1558
_cell_length_c 7.2561
_cell_angle_alpha 90.00
_cell_angle_beta 90.00
_cell_angle_gamma 120.00
_space_group_name_H-M_alt 'P 6/m m m'
_space_group_IT_number 191
_space_group_name_Hall '-P 6 2'
loop_
_atom_site_label
_atom_site_type_symbol
_atom_site_fract_x
_atom_site_fract_y
_atom_site_fract_z
Er1 Er 0.0000 0.0000 0.0000
Ga1 Ga 0.0000 0.0000 0.5000
B1 B 0.3333 0.6667 0.2670
```

---

6.
A relaxed ErAlGe crystal. Source: OQMD via LeMat-Bulk, functional GGA-PBE.

density = 5.826 g/cm³
DFT total energy = -4.313 eV/atom

```
data_ErAlGe
_chemical_formula_sum 'Er4 Al4 Ge4'
_cell_length_a 6.7261
_cell_length_b 6.7261
_cell_length_c 6.7261
_cell_angle_alpha 90.00
_cell_angle_beta 90.00
_cell_angle_gamma 90.00
_space_group_name_H-M_alt 'F -4 3 m'
_space_group_IT_number 216
_space_group_name_Hall 'F -4 2 3'
loop_
_atom_site_label
_atom_site_type_symbol
_atom_site_fract_x
_atom_site_fract_y
_atom_site_fract_z
Er1 Er 0.0000 0.0000 0.0000
Al1 Al 0.2500 0.2500 0.7500
Ge1 Ge 0.2500 0.2500 0.2500
```

---

7.
A relaxed ZnH6Se2O8 crystal. Source: OQMD via LeMat-Bulk, functional GGA-PBE.

density = 3.518 g/cm³
DFT total energy = -4.983 eV/atom

```
data_ZnH6Se2O8
_chemical_formula_sum 'Zn2 H12 Se4 O16'
_cell_length_a 6.9918
_cell_length_b 6.7531
_cell_length_c 8.2835
_cell_angle_alpha 90.00
_cell_angle_beta 120.40
_cell_angle_gamma 90.00
_space_group_name_H-M_alt 'P 1 21/c 1'
_space_group_IT_number 14
loop_
_space_group_symop_operation_xyz
'x,y,z'
'-x,-y,-z'
'-x,y+1/2,-z+1/2'
'x,-y+1/2,z+1/2'
loop_
_atom_site_label
_atom_site_type_symbol
_atom_site_fract_x
_atom_site_fract_y
_atom_site_fract_z
Zn1 Zn 0.0000 0.0000 0.0000
H1 H 0.1100 0.2133 0.3687
H2 H 0.2103 0.1561 0.5850
H3 H 0.4992 0.5159 0.2536
Se1 Se 0.3403 0.7288 0.3910
O1 O 0.0773 0.6792 0.3412
O2 O 0.2020 0.2350 0.0014
O3 O 0.2982 0.5650 0.7575
O4 O 0.3451 0.5404 0.2365
```

---

8.
A relaxed MgAlCoGe crystal. Source: OQMD via LeMat-Bulk, functional GGA-PBE.

density = 5.214 g/cm³
DFT total energy = -4.236 eV/atom
polymorph energy (0 for the lowest one) = 0 meV per atom

```
data_MgAlCoGe
_chemical_formula_sum 'Mg4 Al4 Co4 Ge4'
_cell_length_a 6.1531
_cell_length_b 6.1531
_cell_length_c 6.1531
_cell_angle_alpha 90.00
_cell_angle_beta 90.00
_cell_angle_gamma 90.00
_space_group_name_H-M_alt 'F -4 3 m'
_space_group_IT_number 216
_space_group_name_Hall 'F -4 2 3'
loop_
_atom_site_label
_atom_site_type_symbol
_atom_site_fract_x
_atom_site_fract_y
_atom_site_fract_z
Mg1 Mg 0.0000 0.0000 0.0000
Al1 Al 0.2500 0.2500 0.2500
Co1 Co 0.0000 0.0000 0.5000
Ge1 Ge 0.2500 0.2500 0.7500
```

---

9.
A relaxed Dy2PdPb6 crystal. Source: OQMD via LeMat-Bulk, functional GGA-PBE.

density = 11.110 g/cm³
DFT total energy = -4.362 eV/atom

```
data_Dy2PdPb6
_chemical_formula_sum 'Dy4 Pd2 Pb12'
_cell_length_a 4.5792
_cell_length_b 23.4481
_cell_length_c 4.6622
_cell_angle_alpha 90.00
_cell_angle_beta 90.00
_cell_angle_gamma 90.00
_space_group_name_H-M_alt 'C m m m'
_space_group_IT_number 65
_space_group_name_Hall '-C 2 2'
loop_
_atom_site_label
_atom_site_type_symbol
_atom_site_fract_x
_atom_site_fract_y
_atom_site_fract_z
Dy1 Dy 0.0000 0.1848 0.0000
Pd1 Pd 0.0000 0.5000 0.5000
Pb1 Pb 0.0000 0.0764 0.5000
Pb2 Pb 0.0000 0.2982 0.5000
Pb3 Pb 0.0000 0.4255 0.0000
```

---

10.
A relaxed Lu2SiAu crystal. Source: OQMD via LeMat-Bulk, functional GGA-PBE.

density = 11.224 g/cm³
DFT total energy = -4.496 eV/atom

```
data_Lu2SiAu
_chemical_formula_sum 'Lu8 Si4 Au4'
_cell_length_a 6.9813
_cell_length_b 6.9813
_cell_length_c 6.9813
_cell_angle_alpha 90.00
_cell_angle_beta 90.00
_cell_angle_gamma 90.00
_space_group_name_H-M_alt 'F -4 3 m'
_space_group_IT_number 216
_space_group_name_Hall 'F -4 2 3'
loop_
_atom_site_label
_atom_site_type_symbol
_atom_site_fract_x
_atom_site_fract_y
_atom_site_fract_z
Lu1 Lu 0.0000 0.0000 0.0000
Lu2 Lu 0.2500 0.2500 0.2500
Si1 Si 0.0000 0.0000 0.5000
Au1 Au 0.2500 0.2500 0.7500
```

---

11.
A relaxed Gd2Co3Ge5 crystal. Source: OQMD via LeMat-Bulk, functional GGA-PBE.

density = 8.599 g/cm³
DFT total energy = -5.969 eV/atom

```
data_Gd2Co3Ge5
_chemical_formula_sum 'Gd8 Co12 Ge20'
_cell_length_a 11.1393
_cell_length_b 11.8054
_cell_length_c 5.7699
_cell_angle_alpha 90.00
_cell_angle_beta 119.56
_cell_angle_gamma 90.00
_space_group_name_H-M_alt 'C 1 2/c 1'
_space_group_IT_number 15
loop_
_space_group_symop_operation_xyz
'x,y,z'
'-x,-y,-z'
'-x,y,-z+1/2'
'x,-y,z+1/2'
'x+1/2,y+1/2,z'
'-x+1/2,-y+1/2,-z'
'-x+1/2,y+1/2,-z+1/2'
'x+1/2,-y+1/2,z+1/2'
loop_
_atom_site_label
_atom_site_type_symbol
_atom_site_fract_x
_atom_site_fract_y
_atom_site_fract_z
Gd1 Gd 0.2334 0.1382 0.2333
Co1 Co 0.0000 0.4961 0.7500
Co2 Co 0.1003 0.1394 0.6185
Ge1 Ge 0.0000 0.0077 0.2500
Ge2 Ge 0.0000 0.2708 0.2500
Ge3 Ge 0.0000 0.2825 0.7500
Ge4 Ge 0.1671 0.4071 0.1706
```

---

12.
A relaxed LuCuAsW crystal. Source: OQMD via LeMat-Bulk, functional GGA-PBE.

density = 11.554 g/cm³
DFT total energy = -5.782 eV/atom
polymorph energy (0 for the lowest one) = 202 meV per atom

```
data_LuCuAsW
_chemical_formula_sum 'Lu4 Cu4 As4 W4'
_cell_length_a 6.5876
_cell_length_b 6.5876
_cell_length_c 6.5876
_cell_angle_alpha 90.00
_cell_angle_beta 90.00
_cell_angle_gamma 90.00
_space_group_name_H-M_alt 'F -4 3 m'
_space_group_IT_number 216
_space_group_name_Hall 'F -4 2 3'
loop_
_atom_site_label
_atom_site_type_symbol
_atom_site_fract_x
_atom_site_fract_y
_atom_site_fract_z
Lu1 Lu 0.0000 0.0000 0.0000
Cu1 Cu 0.0000 0.0000 0.5000
As1 As 0.2500 0.2500 0.2500
W1 W 0.2500 0.2500 0.7500
```